1 | Here is a relaxed TeWO6 crystal from the Alexandria database. Energies are from GGA+U.

Cell: 5.3412 5.3412 5.3412 Å, 57.86 57.86 57.86°
Fractional positions:
Te 0.5000 0.5000 0.5000
W 0.0000 0.0000 0.0000
O 0.6473 0.8517 0.2515
O 0.7485 0.3527 0.1483
O 0.8517 0.2515 0.6473
O 0.1483 0.7485 0.3527
O 0.2515 0.6473 0.8517
O 0.3527 0.1483 0.7485

Results
Density of states at the Fermi level, states/eV/atom: 0.000


2 | Here is a relaxed TeWO6 crystal from the Alexandria database. Energies are from GGA+U.

Cell: 5.4688 5.4688 4.8751 Å, 96.19 96.19 127.09°
Fractional positions:
Te 0.5000 0.5000 0.5000
W 0.0000 0.0000 0.0000
O 0.2469 0.2469 0.7501
O 0.3852 0.1239 0.2527
O 0.7531 0.7531 0.2499
O 0.8761 0.6148 0.7473
O 0.6148 0.8761 0.7473
O 0.1239 0.3852 0.2527


Of them, the most stable is 1 and the least stable is 2.


1 | Here is a relaxed Te3WO12 crystal from the Alexandria database. Energies are from GGA+U.

Cell: 5.0959 5.3097 7.3577 Å, 86.72 89.96 89.98°
Fractional positions:
Te 0.0000 0.0000 0.5000
Te 0.5000 0.5000 0.0000
Te 0.5000 0.5000 0.5000
W 0.0000 0.0000 0.0000
O 0.6859 0.1865 0.5663
O 0.8854 0.9982 0.2508
O 0.6918 0.8077 0.9449
O 0.8143 0.6863 0.5665
O 0.1937 0.6921 0.0571
O 0.6303 0.4996 0.2501
O 0.3697 0.5004 0.7499
O 0.8063 0.3079 0.9429
O 0.1857 0.3137 0.4335
O 0.3082 0.1923 0.0551
O 0.1146 0.0018 0.7492
O 0.3141 0.8135 0.4337


2 | Here is a relaxed Te3WO12 crystal from the Alexandria database. Energies are from GGA+U.

Cell: 8.5141 5.0050 5.2492 Å, 87.92 90.00 90.00°
Fractional positions:
Te 0.5794 0.5000 0.0000
Te 0.0878 0.0000 0.5000
Te 0.3983 0.5000 0.5000
W 0.8985 0.0000 0.0000
O 0.7424 0.2568 0.8948
O 0.4185 0.2871 0.8201
O 0.0638 0.2022 0.8069
O 0.5645 0.7065 0.6782
O 0.9269 0.7925 0.6927
O 0.2457 0.7476 0.6356
O 0.2457 0.2524 0.3644
O 0.9269 0.2075 0.3073
O 0.5645 0.2935 0.3218
O 0.0638 0.7978 0.1931
O 0.4185 0.7129 0.1799
O 0.7424 0.7432 0.1052

Results
Density of states at the Fermi level, states/eV/atom: 0.000


Of them, the most stable is 1 and the least stable is 2.